The following is a PBE calculation of a relaxed structure of SrPmCdIr, from Alexandria via LeMat-Bulk.

- Energy of formation from the pure elements: -5.58 kcal/mol of atoms
- Calculated total energy: -4.294 eV per atom

The structure in CIF format:
```
data_SrPmCdIr
_chemical_formula_sum 'Sr1 Pm1 Cd1 Ir1'
_cell_length_a 5.237
_cell_length_b 5.237
_cell_length_c 5.237
_cell_angle_alpha 60.00
_cell_angle_beta 60.00
_cell_angle_gamma 60.00
_symmetry_space_group_name_H-M 'P 1'
_symmetry_Int_Tables_number 1
loop_
_symmetry_equiv_pos_as_xyz
'x,y,z'
loop_
_atom_site_label
_atom_site_fract_x
_atom_site_fract_y
_atom_site_fract_z
Sr1 0.000 0.000 0.000
Pm1 0.500 0.500 0.500
Cd1 0.750 0.750 0.750
Ir1 0.250 0.250 0.250
```